Density functional theory data (PBE) for a relaxed CsRb2TlF6 crystal.

Results
- Formation energy (no corrections): -2.38 eV/atom
- Size of the total moment: 0.000 μB per formula unit

The structure in extended XYZ format:
```
10
Lattice="0.000 4.972 4.972 4.972 0.000 4.972 4.972 4.972 0.000" Properties=species:S:1:pos:R:3 pbc="T T T"
Cs 0.000 0.000 0.000
Rb 2.486 2.486 2.486
Rb 7.458 7.458 7.458
Tl 4.972 4.972 4.972
F 4.972 4.972 2.776
F 4.972 2.776 4.972
F 7.167 4.972 4.972
F 2.776 4.972 4.972
F 4.972 7.167 4.972
F 4.972 4.972 7.167
```